1.
Density functional theory data (PBE) for an optimized crystal structure of BaCdSbI.

Computed properties:
Total DFT energy (no corrections) (eV for the cell shown): -24.932
Spin magnetization (μB per formula unit): 0.00
V (Å³/cell): 334.0
Fermi-level density of states (states/eV/cell): 0.773
ΔE_f (raw) (eV per formula unit): -3.96

```
BaCdSbI
1.0
2.465 1.423 15.867
-2.465 1.423 15.867
0.000 -2.846 15.867
Ba Cd Sb I
2 2 2 2
Cartesian
0.000 0.000 4.069 Ba
0.000 0.000 43.532 Ba
0.000 0.000 14.781 Cd
0.000 0.000 32.821 Cd
0.000 0.000 17.784 Sb
0.000 0.000 29.818 Sb
0.000 0.000 9.864 I
0.000 0.000 37.737 I
```



2.
Density functional theory data (PBE) for an optimized crystal structure of K2NaTeH.

Computed properties:
Total DFT energy (no corrections) (eV for the cell shown): -13.255
Spin magnetization (μB per formula unit): 0.00
V (Å³/cell): 140.3
Fermi-level density of states (states/eV/cell): 0.000

```
K2NaTeH
1.0
5.301 0.000 0.000
0.000 5.301 0.000
0.000 0.000 4.993
K Na Te H
2 1 1 1
Cartesian
0.000 2.651 0.000 K
2.651 0.000 0.000 K
0.000 0.000 2.497 Na
2.651 2.651 2.497 Te
0.000 0.000 0.000 H
```



3.
Density functional theory data (PBE) for an optimized crystal structure of BaSrAs2.

Computed properties:
Total DFT energy (no corrections) (eV for the cell shown): -15.707
DFT formation energy (eV/atom): -0.7008
Spin magnetization (μB per formula unit): 0.00
V (Å³/cell): 123.2
Excess energy over the best structure of this formula in the dataset (eV per atom): 0.277
Fermi-level density of states (states/eV/cell): 2.947

```
BaSrAs2
1.0
-2.298 2.298 5.832
2.298 -2.298 5.832
2.298 2.298 -5.832
Ba Sr As
1 1 2
Cartesian
0.000 0.000 0.000 Ba
2.298 0.000 2.916 Sr
0.000 0.000 5.832 As
0.000 2.298 2.916 As
```



4.
Density functional theory data (PBE) for an optimized crystal structure of Sr2CaZn9.

Computed properties:
Total DFT energy (no corrections) (eV for the cell shown): -19.000
DFT formation energy (eV/atom): -0.1808
Spin magnetization (μB per formula unit): 0.00
V (Å³/cell): 246.2
Fermi-level density of states (states/eV/cell): 8.006

```
Sr2CaZn9
1.0
2.828 1.633 8.885
-2.828 1.633 8.885
0.000 -3.266 8.885
Sr Ca Zn
2 1 9
Cartesian
0.000 0.000 3.780 Sr
0.000 0.000 22.875 Sr
0.000 0.000 0.000 Ca
-1.431 -0.826 10.998 Zn
0.000 0.000 8.922 Zn
0.000 -1.652 15.658 Zn
-1.431 0.826 15.658 Zn
0.000 0.000 13.328 Zn
1.431 -0.826 10.998 Zn
0.000 1.652 10.998 Zn
0.000 0.000 17.733 Zn
1.431 0.826 15.658 Zn
```



5.
Density functional theory data (PBE) for an optimized crystal structure of PrGd2Ho.

Computed properties:
Total DFT energy (no corrections) (eV for the cell shown): -37.409
DFT formation energy (eV/atom): 0.0274
Spin magnetization (μB per formula unit): 14.52
V (Å³/cell): 132.2
Excess energy over the best structure of this formula in the dataset (eV per atom): 0.007
Fermi-level density of states (states/eV/cell): 7.547

```
PrGd2Ho
1.0
3.607 0.000 0.000
0.000 3.607 0.000
0.000 0.000 10.160
Pr Gd Ho
1 2 1
Cartesian
0.000 0.000 0.000 Pr
1.803 1.803 2.603 Gd
1.803 1.803 7.556 Gd
0.000 0.000 5.080 Ho
```



6.
Density functional theory data (PBE) for an optimized crystal structure of Br2Cl.

Computed properties:
Total DFT energy (no corrections) (eV for the cell shown): -9.792
Spin magnetization (μB per formula unit): 0.00
V (Å³/cell): 244.3
Excess energy over the best structure of this formula in the dataset (eV per atom): 0.054
Fermi-level density of states (states/eV/cell): 3.892
ΔE_f (raw) (eV per formula unit): 0.30

```
Br2Cl
1.0
7.273 0.000 0.000
0.000 8.347 0.000
0.000 0.000 4.025
Br Cl
4 2
Cartesian
1.173 0.354 0.000 Br
2.463 4.528 2.012 Br
4.810 3.820 2.012 Br
6.100 7.994 0.000 Br
0.000 4.174 2.012 Cl
3.637 0.000 0.000 Cl
```



7.
Density functional theory data (PBE) for an optimized crystal structure of K2Nd2NbO6.

Computed properties:
Total DFT energy (no corrections) (eV for the cell shown): -79.362
Spin magnetization (μB per formula unit): 1.02
V (Å³/cell): 202.3
Fermi-level density of states (states/eV/cell): 2.161
ΔE_f (raw) (eV per formula unit): -27.81

```
K2Nd2NbO6
1.0
3.044 -5.216 0.000
3.044 5.216 0.000
-1.738 0.000 6.369
K Nd Nb O
2 2 1 6
Cartesian
3.044 3.599 0.000 K
3.044 -3.599 0.000 K
2.175 1.706 3.185 Nd
2.175 -1.706 3.185 Nd
-0.869 0.000 3.185 Nb
0.026 1.593 4.268 O
0.938 0.000 2.054 O
0.026 -1.593 4.268 O
4.325 1.593 2.101 O
3.413 0.000 4.315 O
4.325 -1.593 2.101 O
```